VASP calculation (PBE with a Hubbard U) on BeCrO4 after structural relaxation.

Structure (POSCAR):
```
BeCrO4
1.0
-2.518 2.518 3.784
2.518 -2.518 3.784
2.518 2.518 -3.784
Be Cr O
1 1 4
direct
0.000 0.000 0.000 Be
0.250 0.750 0.500 Cr
0.031 0.878 0.661 O
0.122 0.783 0.153 O
0.217 0.370 0.339 O
0.630 0.969 0.847 O
```

Summary:
Uncorrected energy ... -40.93 eV for the cell shown
Polymorph energy (0 for the lowest one) ... 0.0 meV/atom
Symmetry ... No. 82
Size of the total moment ... 0.0 μB per cell